[1]
ScTaRe2 after structural relaxation. Source: the Alexandria database, functional PBE.

abc: 2.8033 4.4591 5.3803
angles: 90.00 98.45 90.00
Closest atoms and distances in Å follow each position.
Element x y z (fractional)
Sc (0.0000, 0.0000, 0.0000)  4 Re 2.76, 2 Sc 2.80, 2 Ta 2.84
Ta (0.5000, 0.0000, 0.5000)  4 Re 2.74, 2 Ta 2.80, 2 Sc 2.84
Re (0.2689, 0.5000, 0.7520)  2 Ta 2.74, 2 Sc 2.76, 4 Re 2.79-2.90
Re (0.7311, 0.5000, 0.2480)  2 Ta 2.74, 2 Sc 2.76, 4 Re 2.79-2.90

Computed properties:
- M_tot (μB per atom) = 0.00
- crystal system = monoclinic
- electronic total energy (eV/atom) = -10.838
- formation energy from the elements (eV/atom) = -0.07



[2]
ScTaRe2 after structural relaxation. Source: the Alexandria database, functional PBE.

abc: 2.8051 2.8051 9.0277
angles: 90.00 90.00 109.79
Closest atoms and distances in Å follow each position.
Element x y z (fractional)
Sc (0.0000, 0.0000, 0.0000)  4 Sc 2.81, 4 Re 2.83
Ta (0.0000, 0.0000, 0.5000)  4 Re 2.72, 4 Ta 2.81
Re (0.5000, 0.5000, 0.2572)  2 Ta 2.72, 4 Re 2.81, 2 Sc 2.83
Re (0.5000, 0.5000, 0.7428)  2 Ta 2.72, 4 Re 2.81, 2 Sc 2.83

Computed properties:
- M_tot (μB per atom) = 0.00
- crystal system = orthorhombic
- electronic total energy (eV/atom) = -10.852
- formation energy from the elements (eV/atom) = -0.08



[3]
Sc3TaRe after structural relaxation. Source: the Alexandria database, functional PBE.

abc: 4.9454 4.9454 4.9454
angles: 90.00 90.00 90.00
Closest atoms and distances in Å follow each position.
Element x y z (fractional)
Sc (0.0000, 0.0000, 0.5000)  2 Re 2.47
Sc (0.0000, 0.5000, 0.0000)  2 Re 2.47
Sc (0.5000, 0.0000, 0.0000)  2 Re 2.47
Ta (0.5000, 0.5000, 0.5000)  12 Sc 3.50
Re (0.0000, 0.0000, 0.0000)  6 Sc 2.47

Computed properties:
- M_tot (μB per atom) = 0.00
- excess energy over the best structure of this formula in the dataset (eV per formula unit) = 0.00
- crystal system = cubic
- electronic total energy (eV/atom) = -7.783
- formation energy from the elements (eV/atom) = 0.88



The highest formation energy from the elements belongs to which entry? Sc3TaRe



M_tot of number 1 (ScTaRe2)? 0.00 μB per atom



What is the formation energy from the elements in the second record? -0.08 eV/atom



Copy entry 1 word for word.
ScTaRe2 after structural relaxation. Source: the Alexandria database, functional PBE.

abc: 2.8033 4.4591 5.3803
angles: 90.00 98.45 90.00
Closest atoms and distances in Å follow each position.
Element x y z (fractional)
Sc (0.0000, 0.0000, 0.0000)  4 Re 2.76, 2 Sc 2.80, 2 Ta 2.84
Ta (0.5000, 0.0000, 0.5000)  4 Re 2.74, 2 Ta 2.80, 2 Sc 2.84
Re (0.2689, 0.5000, 0.7520)  2 Ta 2.74, 2 Sc 2.76, 4 Re 2.79-2.90
Re (0.7311, 0.5000, 0.2480)  2 Ta 2.74, 2 Sc 2.76, 4 Re 2.79-2.90

Computed properties:
- M_tot (μB per atom) = 0.00
- crystal system = monoclinic
- electronic total energy (eV/atom) = -10.838
- formation energy from the elements (eV/atom) = -0.07